(1)
The following is a PBE-GGA calculation of a geometry-optimized Al3FeCo structure, from Alexandria via LeMat-Bulk.

The structure in POSCAR format:
```
Al3FeCo
1.0
4.3963 0.0000 0.0000
0.0000 4.3963 0.0000
0.0000 0.0000 4.3963
Al Fe Co
3 1 1
direct
0.0000 0.0000 0.5000
0.0000 0.5000 0.0000
0.5000 0.0000 0.0000
0.0000 0.0000 0.0000
0.5000 0.5000 0.5000
```

Properties
The value obtained for the spin magnetization is 2.34 μB/f.u. Its excess energy over the best structure of this formula in the dataset is 623 meV per atom. The formation energy comes out at 0.45 eV/atom.


(2)
The following is a PBE-GGA calculation of a geometry-optimized Sr2TeRh structure, from Alexandria via LeMat-Bulk.

The structure in POSCAR format:
```
Sr2TeRh
1.0
5.3371 0.0000 0.0000
0.0000 5.3371 0.0000
0.0000 0.0000 4.0116
Sr Te Rh
2 1 1
direct
0.0000 0.5000 0.0000
0.5000 0.0000 0.0000
0.0000 0.0000 0.5000
0.5000 0.5000 0.5000
```

Properties
The value obtained for the spin magnetization is 0.01 μB/f.u. The value obtained for the formation energy without anion corrections is -628 meV per atom.